[1]
Computed, not measured: Mg2MoPb after structural relaxation at the PBE level of DFT.

The structure in POSCAR format:
```
Mg2MoPb
1.0
3.027 0.000 0.000
0.000 3.027 0.000
0.000 0.000 9.505
Mg Mo Pb
2 1 1
direct
0.000 0.000 0.000
0.500 0.500 0.251
0.000 0.000 0.463
0.500 0.500 0.703
```

Computed properties:
Spin magnetization: 0.000 μB/f.u.
Energy of formation: 1.69 eV/f.u.

[2]
Computed, not measured: Sr2AgH6Pd after structural relaxation at the PBE level of DFT.

The structure in POSCAR format:
```
Sr2AgH6Pd
1.0
0.000 3.886 3.950
3.870 0.000 3.950
3.870 3.886 0.000
Sr Ag H Pd
2 1 6 1
direct
0.250 0.250 0.250
0.750 0.750 0.750
0.000 0.000 0.000
0.262 0.262 0.738
0.262 0.738 0.262
0.262 0.738 0.738
0.738 0.262 0.262
0.738 0.262 0.738
0.738 0.738 0.262
0.500 0.500 0.500
```

Computed properties:
DFT total energy: -3.54 eV/atom
Spin magnetization: 0.000 μB/f.u.

[3]
Computed, not measured: TmCuGe2 after structural relaxation at the PBE level of DFT.

The structure in POSCAR format:
```
TmCuGe2
1.0
4.207 0.000 0.000
0.000 4.207 0.000
0.000 0.000 4.068
Tm Cu Ge
1 1 2
direct
0.000 0.000 0.000
0.500 0.500 0.000
0.000 0.500 0.500
0.500 0.000 0.500
```

Computed properties:
Spin magnetization: 0.000 μB/f.u.
Energy of formation: -1.49 eV/f.u.

[4]
Computed, not measured: GeAu3F after structural relaxation at the PBE level of DFT.

The structure in POSCAR format:
```
GeAu3F
1.0
4.634 0.000 0.000
0.000 4.634 0.000
0.000 0.000 4.634
Ge Au F
1 3 1
direct
0.000 0.000 0.000
0.000 0.500 0.500
0.500 0.000 0.500
0.500 0.500 0.000
0.500 0.500 0.500
```

Computed properties:
Spin magnetization: 0.000 μB/f.u.
Formation energy (no corrections): 418 meV/atom

[5]
Computed, not measured: AgGe2Pb2Au7 after structural relaxation at the PBE level of DFT.

The structure in POSCAR format:
```
AgGe2Pb2Au7
1.0
3.030 -2.989 0.000
3.030 2.989 0.000
-1.633 0.000 14.180
Ag Ge Pb Au
1 2 2 7
direct
0.000 0.000 0.000
0.437 0.437 0.747
0.563 0.563 0.253
0.113 0.113 0.369
0.887 0.887 0.631
0.035 0.537 0.145
0.343 0.343 0.565
0.463 0.965 0.855
0.500 0.500 0.000
0.537 0.035 0.145
0.657 0.657 0.435
0.965 0.463 0.855
```

Computed properties:
Spin magnetization: 0.000 μB/f.u.
Energy of formation: 0.04 eV/f.u.

[6]
Computed, not measured: Hg2HO2 after structural relaxation at the PBE level of DFT.

The structure in POSCAR format:
```
Hg2HO2
1.0
5.717 -2.841 0.000
5.717 2.841 0.000
-0.761 0.000 5.757
Hg H O
4 2 4
direct
0.106 0.106 0.439
0.345 0.345 0.072
0.655 0.655 0.928
0.894 0.894 0.561
0.367 0.367 0.629
0.633 0.633 0.371
0.284 0.284 0.381
0.424 0.424 0.778
0.576 0.576 0.222
0.716 0.716 0.619
```

Computed properties:
DFT total energy: -3.22 eV/atom
Spin magnetization: 0.000 μB/f.u.

[7]
Computed, not measured: LiCr2Ru after structural relaxation at the PBE level of DFT.

The structure in POSCAR format:
```
LiCr2Ru
1.0
2.607 0.000 0.000
-1.304 2.258 0.000
0.000 0.000 27.057
Li Cr Ru
3 6 3
direct
0.000 0.000 0.000
0.333 0.667 0.667
0.667 0.333 0.333
0.000 0.000 0.245
0.000 0.000 0.755
0.333 0.667 0.421
0.333 0.667 0.912
0.667 0.333 0.088
0.667 0.333 0.579
0.000 0.000 0.500
0.333 0.667 0.167
0.667 0.333 0.833
```

Computed properties:
Spin magnetization: 0.000 μB/f.u.
Energy of formation: 1.53 eV/f.u.

[8]
Computed, not measured: CsMg2SbAs after structural relaxation at the PBE level of DFT.

The structure in POSCAR format:
```
CsMg2SbAs
1.0
6.052 0.000 0.000
0.000 6.052 0.000
0.000 0.000 5.658
Cs Mg Sb As
1 2 1 1
direct
0.000 0.000 0.000
0.000 0.500 0.000
0.500 0.000 0.000
0.500 0.500 0.500
0.000 0.000 0.500
```

Computed properties:
Spin magnetization: 0.074 μB/f.u.
Formation energy (no corrections): 1336 meV/atom

[9]
Computed, not measured: H2SeS after structural relaxation at the PBE level of DFT.

The structure in POSCAR format:
```
H2SeS
1.0
2.590 0.000 0.000
-0.003 3.883 0.000
-1.291 -1.462 6.942
H Se S
2 1 1
direct
0.000 0.000 0.000
0.193 0.045 0.383
0.298 0.255 0.593
0.045 0.727 0.092
```

Computed properties:
Spin magnetization: 0.150 μB/f.u.
Energy above the most stable polymorph in this dataset: 0.1258 eV/atom

[10]
Computed, not measured: Na2GaAgF6 after structural relaxation at the PBE level of DFT.

The structure in POSCAR format:
```
Na2GaAgF6
1.0
5.729 0.000 0.000
-2.862 4.965 0.000
-0.003 -3.304 5.012
Na Ga Ag F
2 1 1 6
direct
0.000 0.000 0.000
0.486 0.973 0.459
0.791 0.582 0.373
0.274 0.549 0.823
0.020 0.471 0.173
0.140 0.008 0.616
0.451 0.153 0.173
0.608 0.749 0.617
0.701 0.722 0.172
0.868 0.476 0.617
```

Computed properties:
Spin magnetization: 0.107 μB/f.u.
Energy above the most stable polymorph in this dataset: 0.0000 eV/atom
Formation energy (no corrections): -2393 meV/atom

[11]
Computed, not measured: K3ZnSi after structural relaxation at the PBE level of DFT.

The structure in POSCAR format:
```
K3ZnSi
1.0
6.512 0.000 0.000
0.000 6.512 0.000
0.000 0.000 6.512
K Zn Si
3 1 1
direct
0.000 0.000 0.500
0.000 0.500 0.000
0.500 0.000 0.000
0.500 0.500 0.500
0.000 0.000 0.000
```

Computed properties:
Spin magnetization: 1.000 μB/f.u.
Energy above the most stable polymorph in this dataset: 0.0000 eV/atom
Formation energy (no corrections): 413 meV/atom

[12]
Computed, not measured: Tb2O3 after structural relaxation at the PBE level of DFT.

The structure in POSCAR format:
```
Tb2O3
1.0
8.946 0.000 0.000
0.000 3.348 0.000
0.000 0.000 8.916
Tb O
8 12
direct
0.004 0.250 0.185
0.187 0.250 0.511
0.313 0.750 0.011
0.496 0.750 0.685
0.504 0.250 0.315
0.687 0.250 0.989
0.813 0.750 0.489
0.996 0.750 0.815
0.046 0.750 0.372
0.115 0.250 0.943
0.226 0.750 0.688
0.274 0.250 0.188
0.385 0.750 0.443
0.454 0.250 0.872
0.546 0.750 0.128
0.615 0.250 0.557
0.726 0.750 0.812
0.774 0.250 0.312
0.885 0.750 0.057
0.954 0.250 0.628
```

Computed properties:
Spin magnetization: 0.000 μB/f.u.
Formation energy (no corrections): -3433 meV/atom

[13]
Computed, not measured: Ac5Sb4Pb after structural relaxation at the PBE level of DFT.

The structure in POSCAR format:
```
Ac5Sb4Pb
1.0
6.795 0.000 0.000
3.396 7.613 0.000
3.392 -0.004 7.616
Ac Sb Pb
5 4 1
direct
0.000 0.000 0.000
0.196 0.202 0.407
0.397 0.407 0.798
0.603 0.593 0.202
0.804 0.798 0.593
0.101 0.599 0.200
0.300 0.800 0.600
0.700 0.200 0.400
0.899 0.401 0.800
0.500 0.000 0.000
```

Computed properties:
Spin magnetization: 0.000 μB/f.u.
Energy above the most stable polymorph in this dataset: 0.0044 eV/atom
Formation energy (no corrections): -1039 meV/atom

[14]
Computed, not measured: CsTcSN2 after structural relaxation at the PBE level of DFT.

The structure in POSCAR format:
```
CsTcSN2
1.0
4.190 0.000 0.000
0.000 4.190 0.000
0.000 0.000 6.634
Cs Tc S N
1 1 1 2
direct
0.000 0.000 0.000
0.500 0.500 0.500
0.000 0.000 0.500
0.000 0.500 0.000
0.500 0.000 0.000
```

Computed properties:
Spin magnetization: 5.361 μB/f.u.
Energy above the most stable polymorph in this dataset: 2.2733 eV/atom
Formation energy (no corrections): 2810 meV/atom

[15]
Computed, not measured: KSn2 after structural relaxation at the PBE level of DFT.

The structure in POSCAR format:
```
KSn2
1.0
3.881 0.000 0.000
0.000 3.881 0.000
0.000 0.000 13.173
K Sn
2 4
direct
0.000 0.000 0.000
0.500 0.500 0.500
0.000 0.000 0.306
0.000 0.000 0.694
0.500 0.500 0.194
0.500 0.500 0.806
```

Computed properties:
Spin magnetization: 0.000 μB/f.u.
Energy of formation: -0.42 eV/f.u.

[16]
Computed, not measured: Pr4SnSb2 after structural relaxation at the PBE level of DFT.

The structure in POSCAR format:
```
Pr4SnSb2
1.0
-4.805 4.805 4.814
4.805 -4.805 4.814
4.805 4.805 -4.814
Pr Sn Sb
8 2 4
direct
0.124 0.733 0.748
0.126 0.235 0.752
0.267 0.015 0.391
0.483 0.374 0.248
0.624 0.876 0.609
0.626 0.874 0.109
0.765 0.517 0.891
0.985 0.376 0.252
0.000 0.000 0.000
0.750 0.250 0.500
0.250 0.625 0.125
0.375 0.500 0.625
0.500 0.125 0.875
0.875 0.750 0.375
```

Computed properties:
Spin magnetization: 0.000 μB/f.u.
Energy above the most stable polymorph in this dataset: 0.0000 eV/atom
Formation energy (no corrections): -962 meV/atom

[17]
Computed, not measured: SmCl3F after structural relaxation at the PBE level of DFT.

The structure in POSCAR format:
```
SmCl3F
1.0
5.439 -3.991 0.000
5.439 3.991 0.000
-2.861 0.000 7.188
Sm Cl F
2 6 2
direct
0.174 0.174 0.014
0.826 0.826 0.986
0.035 0.462 0.786
0.453 0.453 0.589
0.462 0.035 0.786
0.538 0.965 0.214
0.547 0.547 0.411
0.965 0.538 0.214
0.033 0.033 0.175
0.967 0.967 0.825
```

Computed properties:
Spin magnetization: 0.000 μB/f.u.
Formation energy (no corrections): -2219 meV/atom

[18]
Computed, not measured: NdAl2O4 after structural relaxation at the PBE level of DFT.

The structure in POSCAR format:
```
NdAl2O4
1.0
2.529 -4.398 0.000
2.529 4.398 0.000
0.000 0.000 8.274
Nd Al O
2 4 8
direct
0.000 0.000 0.250
0.000 0.000 0.750
0.292 0.702 0.000
0.298 0.708 0.500
0.702 0.292 0.500
0.708 0.298 0.000
0.000 0.500 0.155
0.000 0.500 0.845
0.074 0.299 0.500
0.299 0.074 0.000
0.500 0.000 0.345
0.500 0.000 0.655
0.701 0.926 0.000
0.926 0.701 0.500
```

Computed properties:
Spin magnetization: 0.000 μB/f.u.
Formation energy (no corrections): -2744 meV/atom

[19]
Computed, not measured: Zr5TlCu after structural relaxation at the PBE level of DFT.

The structure in POSCAR format:
```
Zr5TlCu
1.0
3.938 -3.946 0.000
3.938 3.946 0.000
-0.987 0.000 10.147
Zr Tl Cu
10 2 2
direct
0.049 0.588 0.354
0.085 0.915 0.750
0.232 0.436 0.984
0.412 0.951 0.146
0.436 0.232 0.484
0.564 0.768 0.516
0.588 0.049 0.854
0.768 0.564 0.016
0.915 0.085 0.250
0.951 0.412 0.646
0.473 0.527 0.750
0.527 0.473 0.250
0.000 0.000 0.000
0.000 0.000 0.500
```

Computed properties:
Spin magnetization: 0.000 μB/f.u.
Energy of formation: 1.22 eV/f.u.

[20]
Computed, not measured: Sm3Dy7Y2 after structural relaxation at the PBE level of DFT.

The structure in POSCAR format:
```
Sm3Dy7Y2
1.0
5.831 0.000 0.000
0.000 3.564 0.000
-1.026 0.000 18.789
Sm Dy Y
3 7 2
direct
0.000 0.000 0.000
0.278 0.500 0.632
0.722 0.500 0.368
0.188 0.500 0.143
0.243 0.000 0.463
0.310 0.000 0.823
0.500 0.500 0.000
0.690 0.000 0.177
0.757 0.000 0.537
0.812 0.500 0.857
0.210 0.000 0.293
0.790 0.000 0.707
```

Computed properties:
Spin magnetization: 0.000 μB/f.u.
Energy above the most stable polymorph in this dataset: 0.0070 eV/atom
Energy of formation: 1.07 eV/f.u.

[21]
Computed, not measured: Sr3NbAl after structural relaxation at the PBE level of DFT.

The structure in POSCAR format:
```
Sr3NbAl
1.0
5.830 0.000 0.000
0.000 5.830 0.000
0.000 0.000 5.830
Sr Nb Al
3 1 1
direct
0.000 0.000 0.500
0.000 0.500 0.000
0.500 0.000 0.000
0.000 0.000 0.000
0.500 0.500 0.500
```

Computed properties:
Spin magnetization: 0.000 μB/f.u.
Energy above the most stable polymorph in this dataset: 0.0711 eV/atom
Energy of formation: 5.00 eV/f.u.

[22]
Computed, not measured: AgC2 after structural relaxation at the PBE level of DFT.

The structure in POSCAR format:
```
AgC2
1.0
2.564 0.000 0.000
0.000 3.090 0.000
0.000 0.000 17.016
Ag C
4 8
direct
0.000 0.000 0.186
0.000 0.000 0.814
0.500 0.500 0.314
0.500 0.500 0.686
0.000 0.000 0.457
0.000 0.000 0.543
0.000 0.500 0.083
0.000 0.500 0.917
0.500 0.000 0.417
0.500 0.000 0.583
0.500 0.500 0.043
0.500 0.500 0.957
```

Computed properties:
Spin magnetization: 0.000 μB/f.u.
Energy above the most stable polymorph in this dataset: 0.3982 eV/atom
Energy of formation: 2.19 eV/f.u.

[23]
Computed, not measured: Rb2CdGeO4 after structural relaxation at the PBE level of DFT.

The structure in POSCAR format:
```
Rb2CdGeO4
1.0
0.000 6.162 10.651
2.816 0.000 10.651
2.816 6.162 0.000
Rb Cd Ge O
4 2 2 8
direct
0.056 0.056 0.694
0.306 0.306 0.944
0.694 0.694 0.056
0.944 0.944 0.306
0.125 0.125 0.125
0.875 0.875 0.875
0.375 0.375 0.375
0.625 0.625 0.625
0.046 0.619 0.529
0.306 0.529 0.619
0.381 0.954 0.694
0.471 0.694 0.954
0.529 0.306 0.046
0.619 0.046 0.306
0.694 0.471 0.381
0.954 0.381 0.471
```

Computed properties:
Spin magnetization: 0.000 μB/f.u.
Formation energy (no corrections): -1399 meV/atom

[24]
Computed, not measured: TlCdIn after structural relaxation at the PBE level of DFT.

The structure in POSCAR format:
```
TlCdIn
1.0
10.930 0.000 0.000
0.000 4.663 0.000
-2.247 0.000 6.390
Tl Cd In
4 4 4
direct
0.000 0.000 0.000
0.180 0.500 0.333
0.500 0.500 0.000
0.680 0.000 0.333
0.175 0.500 0.830
0.335 0.000 0.155
0.675 0.000 0.830
0.835 0.500 0.155
0.012 0.000 0.508
0.344 0.000 0.663
0.512 0.500 0.508
0.844 0.500 0.663
```

Computed properties:
Spin magnetization: 0.000 μB/f.u.
Energy of formation: 0.15 eV/f.u.